Compound: GaTe3I
Source: Alexandria via LeMat-Bulk
Functional: PBE
Structure: relaxed

Cell lengths 5.9067, 5.9067, 5.9067 Å; angles 90.00, 90.00, 90.00 degrees
Positions (direct):
I: 0.0000 0.0000 0.0000
Te: 0.0000 0.5000 0.0000
Te: 0.0000 0.0000 0.5000
Te: 0.5000 0.0000 0.0000
Ga: 0.5000 0.5000 0.5000

Results
ΔE_f (raw): 0.664 eV per atom
Crystal system: cubic
Distance to the lowest polymorph of the same formula: 0.767 eV/atom
Calculated volume: 41.22 Å³/atom
Total magnetization: 0.000 μB/atom
Total energy: -10.68 eV for the cell shown